Entry 1:
First-principles (PBE) data for ZrCuNiB after structural relaxation, as listed in OQMD via LeMat-Bulk.

Summary:
Excess energy over the best structure of this formula in the dataset, meV/atom: 32
Final energy, eV per formula unit: -24.4

Cell lengths 5.866, 5.866, 5.866 Å; angles 90.00, 90.00, 90.00 degrees
Space group F-43m (No. 216)
Inequivalent atoms, fractional coordinates:
Zr: 0.000 0.000 0.000 x4
Cu: 0.000 0.000 0.500 x4
Ni: 0.250 0.250 0.750 x4
B: 0.250 0.250 0.250 x4


Entry 2:
First-principles (PBE) data for Si2NiPd after structural relaxation, as listed in OQMD via LeMat-Bulk.

Summary:
Excess energy over the best structure of this formula in the dataset, meV/atom: 57
Final energy, eV per formula unit: -22.6

Cell lengths 4.654, 3.921, 6.051 Å; angles 90.00, 103.32, 90.00 degrees
Space group P2_1/m (No. 11)
Inequivalent atoms, fractional coordinates:
Si: 0.183 0.250 0.478 x2
Si: 0.314 0.250 0.941 x2
Ni: 0.352 0.750 0.695 x2
Pd: 0.224 0.750 0.223 x2


Entry 3:
First-principles (PBE) data for GdDyGa6 after structural relaxation, as listed in OQMD via LeMat-Bulk.

Summary:
Final energy, eV per formula unit: -31.8

Cell lengths 6.2861, 6.2861, 4.5737 Å; angles 90.00, 90.00, 120.00 degrees
Space group P-6m2 (No. 187)
Inequivalent atoms, fractional coordinates:
Gd: 0.0000 0.0000 0.0000 x1
Dy: 0.6667 0.3333 0.5000 x1
Ga: 0.0366 0.5183 0.0000 x3
Ga: 0.1853 0.3705 0.5000 x3


Entry 4:
First-principles (PBE) data for ErScBi after structural relaxation, as listed in OQMD via LeMat-Bulk.

Summary:
Final energy, eV per formula unit: -16.8

Cell lengths 4.397, 4.397, 8.269 Å; angles 90.00, 90.00, 90.00 degrees
Space group P4/nmm (No. 129, origin choice 2)
Inequivalent atoms, fractional coordinates:
Er: 0.250 0.250 0.157 x2
Sc: 0.250 0.750 0.500 x2
Bi: 0.250 0.250 0.773 x2


Entry 5:
First-principles (PBE) data for SmScPd after structural relaxation, as listed in OQMD via LeMat-Bulk.

Summary:
Energy relative to the elements, kJ/mol of formula units: -118
Excess energy over the best structure of this formula in the dataset, meV/atom: 0
Final energy, eV per formula unit: -17.4

Cell lengths 6.776, 6.776, 6.776 Å; angles 90.00, 90.00, 90.00 degrees
Space group F-43m (No. 216)
Inequivalent atoms, fractional coordinates:
Sm: 0.000 0.000 0.000 x4
Sc: 0.000 0.000 0.500 x4
Pd: 0.250 0.250 0.750 x4


Entry 6:
First-principles (PBE) data for Gd2ErGe3PdPt2 after structural relaxation, as listed in OQMD via LeMat-Bulk.

Summary:
Final energy, eV per formula unit: -54.1

Cell lengths 3.928, 12.540, 7.278 Å; angles 90.00, 90.00, 90.00 degrees
Space group Amm2 (No. 38)
Inequivalent atoms, fractional coordinates:
Gd: 0.000 0.203 0.000 x4
Er: 0.000 0.000 0.609 x2
Ge: 0.500 0.000 0.948 x2
Ge: 0.500 0.127 0.332 x4
Pd: 0.000 0.000 0.207 x2
Pt: 0.500 0.164 0.702 x4